Entry one
Compound: Y2ErGa
Source: Alexandria
Functional: GGA-PBE
Structure: relaxed

Summary:
Spin magnetization in μB per formula unit: 0.00

abc: 3.4943 3.4943 34.8839
angles: 90.00 90.00 120.00
Closest atoms and distances in Å follow each position.
Space group R-3m (No. 166, hexagonal axes)
Unique sites:
Y: 0.0000 0.0000 0.0857 [6 per cell]  1 Ga 2.99
Er: 0.0000 0.0000 0.5000 [3 per cell]  6 Y 3.47, 6 Er 3.49
Ga: 0.0000 0.0000 0.0000 [3 per cell]  2 Y 2.99

Entry two
Compound: Y2ErGa
Source: Alexandria
Functional: GGA-PBE
Structure: relaxed

Summary:
Spin magnetization in μB per formula unit: 0.00

abc: 3.5204 3.5204 8.9185
angles: 90.00 90.00 90.00
Closest atoms and distances in Å follow each position.
Space group P4/mmm (No. 123)
Unique sites:
Y: 0.0000 0.0000 0.2096 [2 per cell]  4 Ga 3.11
Er: 0.5000 0.5000 0.5000 [1 per cell]  4 Er 3.52, 8 Y 3.59
Ga: 0.5000 0.5000 0.0000 [1 per cell]  8 Y 3.11

Stability, highest: entry two

Entry one
Compound: YEr2Ga
Source: Alexandria
Functional: GGA-PBE
Structure: relaxed

Summary:
Spin magnetization in μB per formula unit: 0.72

abc: 3.5907 3.5907 30.3783
angles: 90.00 90.00 120.00
Closest atoms and distances in Å follow each position.
Space group R3m (No. 160, hexagonal axes)
Unique sites:
Y: 0.0000 0.0000 0.0000 [3 per cell]  6 Er 3.57-3.58, 6 Y 3.59
Er: 0.0000 0.0000 0.2378 [3 per cell]  3 Ga 2.98
Er: 0.0000 0.0000 0.4294 [3 per cell]  3 Ga 3.00
Ga: 0.0000 0.0000 0.8340 [3 per cell]  6 Er 2.98-3.00

Entry two
Compound: YEr2Ga
Source: Alexandria
Functional: GGA-PBE
Structure: relaxed

Summary:
Spin magnetization in μB per formula unit: 0.00

abc: 4.6933 4.6933 4.7197
angles: 90.00 90.00 90.00
Closest atoms and distances in Å follow each position.
Space group P4/mmm (No. 123)
Unique sites:
Y: 0.0000 0.0000 0.0000 [1 per cell]  4 Ga 3.32, 8 Er 3.33
Er: 0.0000 0.5000 0.5000 [2 per cell]  4 Er 3.32, 4 Ga 3.33, 4 Y 3.33
Ga: 0.5000 0.5000 0.0000 [1 per cell]  4 Y 3.32, 8 Er 3.33

Entry three
Compound: YEr2Ga
Source: Alexandria
Functional: GGA-PBE
Structure: relaxed

Summary:
Spin magnetization in μB per formula unit: 0.00

abc: 3.5073 3.5073 8.8507
angles: 90.00 90.00 90.00
Closest atoms and distances in Å follow each position.
Space group P4/mmm (No. 123)
Unique sites:
Y: 0.0000 0.0000 0.0000 [1 per cell]  4 Y 3.51, 8 Er 3.59
Er: 0.5000 0.5000 0.2928 [2 per cell]  4 Ga 3.08
Ga: 0.0000 0.0000 0.5000 [1 per cell]  8 Er 3.08

Entry four
Compound: YEr2Ga
Source: Alexandria
Functional: GGA-PBE
Structure: relaxed

Summary:
Spin magnetization in μB per formula unit: 0.00

abc: 3.4754 3.4754 34.7557
angles: 90.00 90.00 120.00
Closest atoms and distances in Å follow each position.
Space group R-3m (No. 166, hexagonal axes)
Unique sites:
Y: 0.0000 0.0000 0.0000 [3 per cell]  6 Er 3.47, 6 Y 3.48
Er: 0.0000 0.0000 0.4147 [6 per cell]  1 Ga 2.96
Ga: 0.0000 0.0000 0.5000 [3 per cell]  2 Er 2.96

Stability, highest: entry three

Entry one
Compound: YErGa2
Source: Alexandria
Functional: GGA-PBE
Structure: relaxed

Summary:
Spin magnetization in μB per formula unit: 0.00

abc: 3.5627 3.5627 7.1145
angles: 90.00 90.00 90.00
Closest atoms and distances in Å follow each position.
Space group P4/mmm (No. 123)
Unique sites:
Y: 0.0000 0.0000 0.0000 [1 per cell]  8 Ga 3.10
Er: 0.0000 0.0000 0.5000 [1 per cell]  8 Ga 3.07
Ga: 0.5000 0.5000 0.2542 [2 per cell]  4 Er 3.07, 4 Y 3.10

Entry two
Compound: YErGa2
Source: Alexandria
Functional: GGA-PBE
Structure: relaxed

Summary:
Spin magnetization in μB per formula unit: 0.00

abc: 3.6380 3.6380 25.9446
angles: 90.00 90.00 120.00
Closest atoms and distances in Å follow each position.
Space group R-3m (No. 166, hexagonal axes)
Unique sites:
Y: 0.0000 0.0000 0.0000 [3 per cell]  6 Ga 3.03
Er: 0.0000 0.0000 0.5000 [3 per cell]  6 Ga 3.00
Ga: 0.0000 0.0000 0.2493 [6 per cell]  3 Er 3.00, 3 Y 3.03

Entry three
Compound: YErGa2
Source: Alexandria
Functional: GGA-PBE
Structure: relaxed

Summary:
Spin magnetization in μB per formula unit: 0.00

abc: 4.0333 4.3440 10.8411
angles: 90.00 90.00 90.00
Closest atoms and distances in Å follow each position.
Space group Amm2 (No. 38)
Unique sites:
Y: 0.0000 0.0000 0.0000 [2 per cell]  7 Ga 3.04-3.20
Er: 0.5000 0.0000 0.2784 [2 per cell]  7 Ga 3.04-3.19
Ga: 0.0000 0.0000 0.7172 [2 per cell]  2 Ga 2.62
Ga: 0.5000 0.0000 0.5626 [2 per cell]  2 Ga 2.62

Stability, highest: entry three

Entry one
Compound: Er6ZnGa2
Source: Alexandria
Functional: GGA-PBE
Structure: relaxed

Summary:
Spin magnetization in μB per formula unit: 0.00

abc: 4.8969 6.9449 14.7493
angles: 90.00 90.00 90.00
Closest atoms and distances in Å follow each position.
Space group Immm (No. 71)
Unique sites:
Er: 0.0000 0.2470 0.0000 [4 per cell]  2 Zn 2.99, 2 Ga 3.02
Er: 0.0000 0.2518 0.3339 [8 per cell]  1 Zn 3.00, 3 Ga 3.01
Zn: 0.0000 0.5000 0.5000 [2 per cell]  8 Er 2.99-3.00
Ga: 0.0000 0.5000 0.1670 [4 per cell]  8 Er 3.01-3.02

Entry two
Compound: Er6ZnGa2
Source: Alexandria
Functional: GGA-PBE
Structure: relaxed

Summary:
Spin magnetization in μB per formula unit: 0.00

abc: 9.4687 9.5686 10.2743
angles: 90.00 90.00 90.00
Closest atoms and distances in Å follow each position.
Space group Immm (No. 71)
Unique sites:
Er: 0.0000 0.2063 0.1766 [8 per cell]  3 Ga 2.85-3.03
Er: 0.1784 0.2291 0.5000 [8 per cell]  3 Ga 3.04-3.07, 1 Zn 3.09, 1 Er 3.38
Er: 0.1953 0.5000 0.2541 [8 per cell]  2 Ga 2.93-3.18, 2 Zn 3.13-3.20
Zn: 0.0000 0.5000 0.0000 [2 per cell]  8 Er 3.20-3.35
Zn: 0.0000 0.5000 0.5000 [2 per cell]  8 Er 3.09-3.13, 2 Ga 3.33
Ga: 0.0000 0.0000 0.3771 [4 per cell]  1 Ga 2.53
Ga: 0.1484 0.0000 0.0000 [4 per cell]  1 Ga 2.81, 8 Er 2.93-3.07

Stability, highest: entry two